# 1
A relaxed Ba2LaCu crystal. Source: Alexandria via LeMat-Bulk, functional GGA-PBE.

As for the formation energy: 0.151 eV/atom. The value obtained for the total energy is -3.07 eV per atom.

Geometry as CIF:
```
data_Ba2LaCu
_cell_length_a 3.931
_cell_length_b 3.932
_cell_length_c 10.203
_cell_angle_alpha 90.00
_cell_angle_beta 90.10
_cell_angle_gamma 90.00
_symmetry_space_group_name_H-M 'P 1 2/m 1'
_symmetry_Int_Tables_number 10
_symmetry_space_group_name_Hall '-P 2y'
loop_
_atom_site_label
_atom_site_type_symbol
_atom_site_fract_x
_atom_site_fract_y
_atom_site_fract_z
Ba1 Ba 0.000 0.000 0.189
La1 La 0.500 0.500 0.500
Cu1 Cu 0.500 0.500 0.000
```

***

# 2
A relaxed Pr3Ho5Er4 crystal. Source: Alexandria via LeMat-Bulk, functional GGA-PBE.

As for the formation energy: 0.281 eV/atom. The value obtained for the total energy is -4.34 eV per atom.

Geometry as CIF:
```
data_Pr3Ho5Er4
_cell_length_a 17.757
_cell_length_b 5.720
_cell_length_c 8.715
_cell_angle_alpha 90.00
_cell_angle_beta 116.68
_cell_angle_gamma 90.00
_symmetry_space_group_name_H-M 'C 1 2/m 1'
_symmetry_Int_Tables_number 12
_symmetry_space_group_name_Hall '-C 2y'
loop_
_atom_site_label
_atom_site_type_symbol
_atom_site_fract_x
_atom_site_fract_y
_atom_site_fract_z
Pr1 Pr 0.000 0.000 0.000
Pr2 Pr 0.185 0.500 0.227
Ho1 Ho 0.000 0.500 0.000
Ho2 Ho 0.094 0.000 0.440
Ho3 Ho 0.161 0.000 0.891
Er1 Er 0.037 0.500 0.696
Er2 Er 0.208 0.500 0.647
```

***

# 3
A relaxed YTa2Cu crystal. Source: Alexandria via LeMat-Bulk, functional GGA-PBE.

As for the formation energy: 0.495 eV/atom. The value obtained for the total energy is -8.07 eV per atom.

Geometry as CIF:
```
data_YTa2Cu
_cell_length_a 3.0042
_cell_length_b 3.0042
_cell_length_c 29.8025
_cell_angle_alpha 90.00
_cell_angle_beta 90.00
_cell_angle_gamma 120.00
_symmetry_space_group_name_H-M 'R -3 m'
_symmetry_Int_Tables_number 166
_symmetry_space_group_name_Hall '-R 3 2"'
loop_
_atom_site_label
_atom_site_type_symbol
_atom_site_fract_x
_atom_site_fract_y
_atom_site_fract_z
Y1 Y 0.0000 0.0000 0.0000
Ta1 Ta 0.0000 0.0000 0.2396
Cu1 Cu 0.0000 0.0000 0.5000
```

***

# 4
A relaxed Sm2NiAuC crystal. Source: Alexandria via LeMat-Bulk, functional GGA-PBE.

As for the formation energy: -0.490 eV/atom. The value obtained for the total energy is -6.03 eV per atom.

Geometry as CIF:
```
data_Sm2NiAuC
_cell_length_a 5.163
_cell_length_b 5.163
_cell_length_c 3.675
_cell_angle_alpha 90.00
_cell_angle_beta 90.00
_cell_angle_gamma 90.00
_symmetry_space_group_name_H-M 'P 4/m m m'
_symmetry_Int_Tables_number 123
_symmetry_space_group_name_Hall '-P 4 2'
loop_
_atom_site_label
_atom_site_type_symbol
_atom_site_fract_x
_atom_site_fract_y
_atom_site_fract_z
Sm1 Sm 0.000 0.500 0.000
Ni1 Ni 0.000 0.000 0.500
Au1 Au 0.500 0.500 0.500
C1 C 0.000 0.000 0.000
```

***

Calculated calculated density (g/cm³), listed in the same order as above: 5.02, 8.05, 11.00, 9.63